PBE NdB4O7, optimized geometry; formation energy from raw total energies = -28.7 eV/f.u.
1.0
-0.129 1.092 4.145
-3.427 -2.817 0.635
7.042 -8.042 2.337
O B Nd
14 8 2
Cartesian
3.443 -8.080 6.340 O
1.468 -1.631 4.553 O
-0.266 -1.639 2.797 O
4.676 -7.284 4.437 O
0.287 -4.576 1.369 O
2.464 -8.325 4.129 O
4.499 -5.093 5.559 O
1.674 -3.218 2.786 O
2.386 -6.973 2.065 O
-2.620 -1.589 2.425 O
-1.546 -3.745 2.798 O
2.528 -3.675 5.353 O
-1.754 -2.145 4.615 O
3.518 -5.325 3.398 O
3.258 -5.808 2.047 B
3.789 -8.320 4.944 B
-1.539 -2.236 3.176 B
1.544 -3.850 1.479 B
2.474 -8.319 2.579 B
1.124 -1.916 3.069 B
4.579 -5.861 4.215 B
-1.113 -4.223 1.389 B
0.795 -5.545 4.138 Nd
-0.791 -0.533 0.550 Nd